DFT (GGA-PBE) results for CaTl2PtC after structural relaxation.

a b c (Å): 5.4940 5.4940 3.9158
angles (deg): 90.00 90.00 90.00
Element x y z (fractional)
1 Ca 0.0000 0.0000 0.0000
2 Tl 0.0000 0.5000 0.5000
3 Tl 0.5000 0.0000 0.5000
4 Pt 0.5000 0.5000 0.0000
5 C 0.5000 0.5000 0.5000

As for the electronic total energy: -20.379 eV per formula unit. The value obtained for the volume is 23.64 Å³/atom. As for the space-group type: P4/mmm. As for the formation enthalpy at 0 K: 324 meV per atom.